(1)
Here is a relaxed TiZnCo2Mo crystal from Alexandria via LeMat-Bulk. Energies are from PBEsol.

Results
The space group is P4/mmm (123). The value obtained for the density of states at the Fermi level is 8.49 states/eV/f.u. The total DFT energy (no corrections) is -6.218 eV per atom.

Cell: 4.1739 4.1739 4.5635 Å, 90.00 90.00 90.00°
Fractional positions:
Mo: 0.0000 0.0000 0.5000
Co: 0.0000 0.5000 0.0000
Co: 0.5000 0.0000 0.0000
Zn: 0.0000 0.0000 0.0000
Ti: 0.5000 0.5000 0.5000

(2)
Here is a relaxed Cu2NiOs crystal from Alexandria via LeMat-Bulk. Energies are from PBEsol.

Results
The value obtained for the relative energy among the computed polymorphs is 5.73 kJ/mol of atoms. The space group is Pmm2 (25). The value obtained for the density of states at the Fermi level is 3.78 states/eV/f.u.

Cell: 2.5286 3.6471 5.1568 Å, 90.00 90.00 90.00°
Fractional positions:
Cu: 0.0000 0.0000 0.0110
Cu: 0.5000 0.5000 0.2432
Ni: 0.0000 0.0000 0.5100
Os: 0.5000 0.5000 0.7359

(3)
Here is a relaxed YGeMoRh2 crystal from Alexandria via LeMat-Bulk. Energies are from PBEsol.

Results
The space group is P4/mmm (123). The value obtained for the density of states at the Fermi level is 5.89 states/eV/f.u. The total DFT energy (no corrections) is -7.131 eV per atom.

Cell: 4.4283 4.4283 5.0783 Å, 90.00 90.00 90.00°
Fractional positions:
Y: 0.0000 0.0000 0.5000
Mo: 0.5000 0.5000 0.5000
Rh: 0.0000 0.5000 0.0000
Rh: 0.5000 0.0000 0.0000
Ge: 0.0000 0.0000 0.0000

(4)
Here is a relaxed Ba3Sb4O crystal from Alexandria via LeMat-Bulk. Energies are from PBEsol.

Results
The space group is P2_1/c (14). The value obtained for the density of states at the Fermi level is 0.15 states/eV/f.u. The total DFT energy (no corrections) is -4.925 eV per atom.

Cell: 6.9426 11.8895 13.0759 Å, 90.00 90.00 100.93°
Fractional positions:
Ba: 0.2437 0.4479 0.5567
Ba: 0.2563 0.0521 0.0567
Ba: 0.7563 0.5521 0.4433
Ba: 0.7437 0.9479 0.9433
Ba: 0.8950 0.2879 0.0450
Ba: 0.6050 0.2121 0.5450
Ba: 0.1050 0.7121 0.9550
Ba: 0.3950 0.7879 0.4550
Ba: 0.8227 0.0245 0.2565
Ba: 0.6773 0.4755 0.7565
Ba: 0.1773 0.9755 0.7435
Ba: 0.3227 0.5245 0.2435
O: 0.9131 0.0847 0.0792
O: 0.5869 0.4153 0.5792
O: 0.0869 0.9153 0.9208
O: 0.4131 0.5847 0.4208
Sb: 0.9591 0.3126 0.3411
Sb: 0.5409 0.1874 0.8411
Sb: 0.0409 0.6874 0.6589
Sb: 0.4591 0.8126 0.1589
Sb: 0.3305 0.0565 0.3340
Sb: 0.1695 0.4435 0.8340
Sb: 0.6695 0.9435 0.6660
Sb: 0.8305 0.5565 0.1660
Sb: 0.0708 0.1362 0.4782
Sb: 0.4292 0.3638 0.9782
Sb: 0.9292 0.8638 0.5218
Sb: 0.5708 0.6362 0.0218
Sb: 0.5546 0.2704 0.2653
Sb: 0.9454 0.2296 0.7653
Sb: 0.4454 0.7296 0.7347
Sb: 0.0546 0.7704 0.2347

(5)
Here is a relaxed KTeP crystal from Alexandria via LeMat-Bulk. Energies are from PBEsol.

Results
The value obtained for the relative energy among the computed polymorphs is 0.00 kJ/mol of atoms. The space group is Imm2 (44). The value obtained for the density of states at the Fermi level is 1.79 states/eV/f.u.

Cell: 3.1141 5.5248 6.0654 Å, 117.09 104.88 90.00°
Fractional positions:
P: 0.6089 0.6089 0.2177
K: 0.0204 0.0204 0.0408
Te: 0.3707 0.3707 0.7415

(6)
Here is a relaxed KRbPb3 crystal from Alexandria via LeMat-Bulk. Energies are from PBEsol.

Results
The space group is Pm-3m (221). The value obtained for the density of states at the Fermi level is 3.53 states/eV/f.u. The total DFT energy (no corrections) is -2.063 eV per atom.

Cell: 6.1737 6.1737 6.1737 Å, 90.00 90.00 90.00°
Fractional positions:
Pb: 0.0000 0.5000 0.0000
Pb: 0.0000 0.0000 0.5000
Pb: 0.5000 0.0000 0.0000
K: 0.5000 0.5000 0.5000
Rb: 0.0000 0.0000 0.0000

(7)
Here is a relaxed BaMgTiF7 crystal from Alexandria via LeMat-Bulk. Energies are from PBEsol.

Results
The space group is P2_1/c (14). The value obtained for the density of states at the Fermi level is 7.42 states/eV/f.u. The total DFT energy (no corrections) is -6.119 eV per atom.

Cell: 5.5937 9.5662 9.8713 Å, 90.00 90.00 92.79°
Fractional positions:
Ba: 0.2661 0.4992 0.6804
Ba: 0.7339 0.0008 0.1804
Ba: 0.7339 0.5008 0.3196
Ba: 0.2661 0.9992 0.8196
Mg: 0.6931 0.8102 0.6056
Mg: 0.3069 0.6898 0.1056
Mg: 0.6931 0.3102 0.8944
Mg: 0.3069 0.1898 0.3944
Ti: 0.1935 0.8122 0.3897
Ti: 0.8065 0.1878 0.6103
Ti: 0.1935 0.3122 0.1103
Ti: 0.8065 0.6878 0.8897
F: 0.1217 0.1247 0.5519
F: 0.3716 0.3729 0.9464
F: 0.4778 0.7498 0.2846
F: 0.5222 0.2502 0.7154
F: 0.8924 0.3694 0.5433
F: 0.2569 0.4992 0.1919
F: 0.0257 0.7519 0.2169
F: 0.1076 0.1306 0.0433
F: 0.3716 0.8729 0.5536
F: 0.5222 0.7502 0.7846
F: 0.1217 0.6247 0.9481
F: 0.8783 0.8753 0.4481
F: 0.9743 0.7481 0.7169
F: 0.3920 0.8731 0.0397
F: 0.1076 0.6306 0.4567
F: 0.8924 0.8694 0.9567
F: 0.9743 0.2481 0.7831
F: 0.8783 0.3753 0.0519
F: 0.6080 0.6269 0.5397
F: 0.6284 0.6271 0.0536
F: 0.6080 0.1269 0.9603
F: 0.0257 0.2519 0.2831
F: 0.3920 0.3731 0.4603
F: 0.7431 0.0008 0.6919
F: 0.7431 0.5008 0.8081
F: 0.2569 0.9992 0.3081
F: 0.6284 0.1271 0.4464
F: 0.4778 0.2498 0.2154

(8)
Here is a relaxed Ba5Ga2Se8 crystal from Alexandria via LeMat-Bulk. Energies are from PBEsol.

Results
The space group is Cmce (64). The value obtained for the density of states at the Fermi level is 0.00 states/eV/f.u. The total DFT energy (no corrections) is -4.801 eV per atom.

Cell: 12.1542 12.4252 13.2588 Å, 117.94 90.00 90.00°
Fractional positions:
Ba: 0.3443 0.8979 0.8008
Ba: 0.6557 0.9029 0.8008
Ba: 0.8443 0.4029 0.8008
Ba: 0.1557 0.3979 0.8008
Ba: 0.6557 0.1021 0.1992
Ba: 0.3443 0.0971 0.1992
Ba: 0.1557 0.5971 0.1992
Ba: 0.8443 0.6021 0.1992
Ba: 0.0052 0.7460 0.8068
Ba: 0.9948 0.0608 0.8068
Ba: 0.5052 0.5608 0.8068
Ba: 0.4948 0.2460 0.8068
Ba: 0.9948 0.2540 0.1932
Ba: 0.0052 0.9392 0.1932
Ba: 0.4948 0.4392 0.1932
Ba: 0.5052 0.7540 0.1932
Ba: 0.2500 0.4950 0.5000
Ba: 0.7500 0.0050 0.5000
Ba: 0.7500 0.5050 0.5000
Ba: 0.2500 0.9950 0.5000
Ga: 0.2304 0.6868 0.0000
Ga: 0.7696 0.3132 0.0000
Ga: 0.7304 0.8132 0.0000
Ga: 0.2696 0.1868 0.0000
Ga: 0.0000 0.7494 0.4987
Ga: 0.5000 0.2494 0.4987
Ga: 0.0000 0.2506 0.5013
Ga: 0.5000 0.7506 0.5013
Se: 0.3501 0.5228 0.0000
Se: 0.6499 0.4772 0.0000
Se: 0.8501 0.9772 0.0000
Se: 0.1499 0.0228 0.0000
Se: 0.1527 0.8128 0.6269
Se: 0.8473 0.8141 0.6269
Se: 0.6527 0.3141 0.6269
Se: 0.3473 0.3128 0.6269
Se: 0.8473 0.1872 0.3731
Se: 0.1527 0.1859 0.3731
Se: 0.3473 0.6859 0.3731
Se: 0.6527 0.6872 0.3731
Se: 0.0012 0.4658 0.6266
Se: 0.9988 0.1607 0.6266
Se: 0.5012 0.6607 0.6266
Se: 0.4988 0.9658 0.6266
Se: 0.9988 0.5342 0.3734
Se: 0.0012 0.8393 0.3734
Se: 0.4988 0.3393 0.3734
Se: 0.5012 0.0342 0.3734
Se: 0.2577 0.6616 0.8131
Se: 0.7423 0.1514 0.8131
Se: 0.7577 0.6514 0.8131
Se: 0.2423 0.1616 0.8131
Se: 0.7423 0.3384 0.1869
Se: 0.2577 0.8486 0.1869
Se: 0.2423 0.3486 0.1869
Se: 0.7577 0.8384 0.1869
Se: 0.0299 0.6461 0.0000
Se: 0.9701 0.3539 0.0000
Se: 0.5299 0.8539 0.0000
Se: 0.4701 0.1461 0.0000

(9)
Here is a relaxed MgTcRu2 crystal from Alexandria via LeMat-Bulk. Energies are from PBEsol.

Results
The space group is F-43m (216). The value obtained for the density of states at the Fermi level is 5.09 states/eV/f.u. The total DFT energy (no corrections) is -7.949 eV per atom.

Cell: 4.3025 4.3025 4.3025 Å, 60.00 60.00 60.00°
Fractional positions:
Mg: 0.5000 0.5000 0.5000
Ru: 0.0000 0.0000 0.0000
Ru: 0.7500 0.7500 0.7500
Tc: 0.2500 0.2500 0.2500

(10)
Here is a relaxed Sr3V2O8 crystal from Alexandria via LeMat-Bulk. Energies are from PBEsol.

Results
The space group is R-3m (166). The value obtained for the density of states at the Fermi level is 0.00 states/eV/f.u. The total DFT energy (no corrections) is -8.023 eV per atom.

Cell: 5.5779 5.5779 7.4176 Å, 67.91 67.91 60.00°
Fractional positions:
Sr: 0.2020 0.2020 0.3941
Sr: 0.7980 0.7980 0.6059
Sr: 0.0000 0.0000 0.0000
V: 0.4062 0.4062 0.7813
V: 0.5938 0.5938 0.2187
O: 0.7694 0.2680 0.6945
O: 0.2680 0.7694 0.6945
O: 0.2680 0.2680 0.6945
O: 0.2306 0.7320 0.3055
O: 0.7320 0.2306 0.3055
O: 0.6784 0.6784 0.9648
O: 0.3216 0.3216 0.0352
O: 0.7320 0.7320 0.3055

(11)
Here is a relaxed LiScTc2 crystal from Alexandria via LeMat-Bulk. Energies are from PBEsol.

Results
The space group is P4/mmm (123). The value obtained for the density of states at the Fermi level is 3.02 states/eV/f.u. The total DFT energy (no corrections) is -7.492 eV per atom.

Cell: 2.5886 2.5886 9.0088 Å, 90.00 90.00 90.00°
Fractional positions:
Li: 0.5000 0.5000 0.0000
Sc: 0.5000 0.5000 0.5000
Tc: 0.0000 0.0000 0.7557
Tc: 0.0000 0.0000 0.2443

(12)
Here is a relaxed Y2CuSe crystal from Alexandria via LeMat-Bulk. Energies are from PBEsol.

Results
The value obtained for the relative energy among the computed polymorphs is 27.70 kJ/mol of atoms. The space group is I4/mmm (139). The value obtained for the density of states at the Fermi level is 3.31 states/eV/f.u.

Cell: 4.6898 5.0398 4.6898 Å, 62.27 90.00 117.73°
Fractional positions:
Cu: 0.5000 0.0000 0.5000
Se: 0.0000 0.0000 0.0000
Y: 0.2500 0.5000 0.2500
Y: 0.7500 0.5000 0.7500

(13)
Here is a relaxed Sr2Mo crystal from Alexandria via LeMat-Bulk. Energies are from PBEsol.

Results
The value obtained for the relative energy among the computed polymorphs is 0.00 kJ/mol of atoms. The space group is I4/mcm (140). The value obtained for the density of states at the Fermi level is 4.74 states/eV/f.u.

Cell: 4.8488 6.7563 6.7563 Å, 82.60 68.97 68.97°
Fractional positions:
Mo: 0.2500 0.0000 0.0000
Mo: 0.7500 0.0000 0.0000
Sr: 0.8406 0.5000 0.8187
Sr: 0.1594 0.5000 0.1813
Sr: 0.3406 0.8187 0.5000
Sr: 0.6594 0.1813 0.5000

(14)
Here is a relaxed CuBW3 crystal from Alexandria via LeMat-Bulk. Energies are from PBEsol.

Results
The space group is Pm-3m (221). The value obtained for the density of states at the Fermi level is 6.00 states/eV/f.u. The total DFT energy (no corrections) is -7.849 eV per atom.

Cell: 4.3953 4.3953 4.3953 Å, 90.00 90.00 90.00°
Fractional positions:
B: 0.5000 0.5000 0.5000
Cu: 0.0000 0.0000 0.0000
W: 0.0000 0.5000 0.0000
W: 0.0000 0.0000 0.5000
W: 0.5000 0.0000 0.0000

(15)
Here is a relaxed MgReMo crystal from Alexandria via LeMat-Bulk. Energies are from PBEsol.

Results
The value obtained for the relative energy among the computed polymorphs is 0.00 kJ/mol of atoms. The space group is Fmm2 (42). The value obtained for the density of states at the Fermi level is 2.19 states/eV/f.u.

Cell: 2.7065 2.7065 7.0965 Å, 97.09 97.09 110.63°
Fractional positions:
Mg: 0.0017 0.0017 0.0035
Mo: 0.3259 0.3259 0.6518
Re: 0.6723 0.6723 0.3447

(16)
Here is a relaxed Al2ReAs crystal from Alexandria via LeMat-Bulk. Energies are from PBEsol.

Results
The value obtained for the relative energy among the computed polymorphs is 0.00 kJ/mol of atoms. The space group is Immm (71). The value obtained for the density of states at the Fermi level is 2.28 states/eV/f.u.

Cell: 3.3247 4.3343 4.9136 Å, 116.17 109.77 90.00°
Fractional positions:
Re: 0.0000 0.5000 0.0000
As: 0.5000 0.0000 0.0000
Al: 0.7532 0.7532 0.5065
Al: 0.2468 0.2468 0.4935

(17)
Here is a relaxed H4W crystal from Alexandria via LeMat-Bulk. Energies are from PBEsol.

Results
The space group is P4/nmm (129). The value obtained for the density of states at the Fermi level is 0.10 states/eV/f.u. The total DFT energy (no corrections) is -5.341 eV per atom.

Cell: 3.0415 3.0415 6.6960 Å, 90.00 90.00 90.00°
Fractional positions:
H: 0.0000 0.5000 0.8630
H: 0.5000 0.0000 0.1370
H: 0.0000 0.5000 0.3997
H: 0.5000 0.0000 0.6003
H: 0.0000 0.0000 0.6974
H: 0.5000 0.5000 0.3026
H: 0.0000 0.0000 0.3026
H: 0.5000 0.5000 0.6974
W: 0.0000 0.5000 0.1416
W: 0.5000 0.0000 0.8584

(18)
Here is a relaxed As2S3 crystal from Alexandria via LeMat-Bulk. Energies are from PBEsol.

Results
The space group is C2/m (12). The total DFT energy (no corrections) is -4.803 eV per atom.

Cell: 3.5626 6.7390 8.9427 Å, 94.64 90.00 105.33°
Fractional positions:
As: 0.6186 0.2372 0.4478
As: 0.3814 0.7628 0.5522
As: 0.2012 0.4024 0.1391
As: 0.7988 0.5976 0.8609
S: 0.0392 0.0783 0.2974
S: 0.9608 0.9217 0.7026
S: 0.7733 0.5467 0.3409
S: 0.2267 0.4533 0.6591
S: 0.3682 0.7364 0.0302
S: 0.6318 0.2636 0.9698

(19)
Here is a relaxed PPb2Se crystal from Alexandria via LeMat-Bulk. Energies are from PBEsol.

Results
The value obtained for the relative energy among the computed polymorphs is 0.00 kJ/mol of atoms. The space group is P4/mmm (123). The value obtained for the density of states at the Fermi level is 2.23 states/eV/f.u.

Cell: 4.1605 4.1605 5.9434 Å, 90.00 90.00 90.00°
Fractional positions:
P: 0.5000 0.5000 0.8751
Pb: 0.0000 0.0000 0.8748
Pb: 0.5000 0.5000 0.3750
Se: 0.0000 0.0000 0.3750

(20)
Here is a relaxed In2TePtS crystal from Alexandria via LeMat-Bulk. Energies are from PBEsol.

Results
The space group is P4/mmm (123). The value obtained for the density of states at the Fermi level is 4.44 states/eV/f.u. The total DFT energy (no corrections) is -3.465 eV per atom.

Cell: 4.7866 5.7023 5.7023 Å, 90.00 90.00 90.00°
Fractional positions:
S: 0.5000 0.5000 0.5000
Te: 0.0000 0.0000 0.0000
Pt: 0.5000 0.0000 0.0000
In: 0.0000 0.0000 0.5000
In: 0.0000 0.5000 0.0000